The following is a DFT calculation (GGA-PBEsol) of a relaxed KCdAs4 crystal.

Properties
DFT formation energy = 56 meV/atom
Raw total energy = -22.42 eV per cell
Crystal system = cubic
D(E_F) = 1.93 states/eV/f.u.

POSCAR file:
```
KCdAs4
1.0
-0.688 -2.457 -5.154
-1.182 -5.616 -0.374
-5.218 -1.734 -1.686
As Cd K
4 1 1
direct
0.384 0.847 0.384
0.847 0.384 0.384
0.384 0.384 0.384
0.384 0.384 0.847
0.750 0.750 0.750
0.000 0.000 0.000
```